# SrTbAuSe3

An optimized crystal structure of SrTbAuSe3 (PBE-GGA, the Open Quantum Materials Database).

The structure belongs to space group P2_1/m (No. 11); the cell edges are 8.043, 4.120 and 9.901 Å and the angles 90.00°, 105.83° and 90.00°. The distinct sites, in fractional coordinates, are Sr at (0.235, 0.250, 0.283), Tb at (0.314, 0.750, 0.835), Au at (0.109, 0.250, 0.593), Se at (0.065, 0.250, 0.847), Se at (0.297, 0.750, 0.537) and Se at (0.425, 0.750, 0.139).

For the volume, the calculation gives 157.8 Å³/f.u. The calculation puts the raw total energy at -4.82 eV/atom. The value obtained for the density is 7.2 g/cm³.